No. 1
Below is crystalline CaCoOs2 at its relaxed geometry, with properties calculated at the GGA-PBE level.

## Properties
Energy relative to the elements in eV per atom: 0.35
Offset from the most stable computed form in meV/atom: 0
Density of states at the Fermi level in states/eV per atom: 1.14
Total moment in μB per formula unit: 0.00
Uncorrected energy in eV/atom: -7.54

```
CaCoOs2
1.0
-3.060 -3.917 2.813
-1.148 -3.178 4.605
-3.158 1.792 2.631
Ca Os Co
1 2 1
Cartesian
-1.842 -1.326 2.512
-3.646 -2.323 4.849
-3.196 1.464 2.806
-5.525 -3.977 7.537
```

No. 2
Below is crystalline Na8Cl5O at its relaxed geometry, with properties calculated at the GGA-PBE level.

## Properties
Density of states at the Fermi level in states/eV per atom: 0.16
Total moment in μB per formula unit: 0.00
Uncorrected energy in eV/atom: -3.19

```
Na8Cl5O
1.0
-0.535 -4.994 -6.337
4.194 -6.913 -0.065
-3.850 -7.072 0.740
Na Cl O
8 5 1
Cartesian
-0.366 -9.628 -5.562
-2.098 -13.235 -4.869
1.609 -13.162 -5.240
-2.205 -10.781 -1.635
-0.165 -16.421 -4.899
2.259 -10.693 -2.082
-0.069 -6.856 -2.046
0.082 -14.119 -1.979
0.000 0.000 0.000
0.146 -9.366 -0.393
-2.197 -8.415 -3.500
-0.119 -11.840 -3.533
1.788 -8.336 -3.899
-0.048 -4.745 -1.416
```

No. 3
Below is crystalline CaNi3H at its relaxed geometry, with properties calculated at the GGA-PBE level.

## Properties
Offset from the most stable computed form in meV/atom: 2033
Density of states at the Fermi level in states/eV per atom: 1.52
Total moment in μB per formula unit: 0.91
Uncorrected energy in eV/atom: -2.46

```
CaNi3H
1.0
-1.122 -4.182 1.811
3.244 -2.043 -2.708
3.201 0.605 3.379
Ni H Ca
3 1 1
Cartesian
1.601 0.302 1.689
-0.561 -2.091 0.906
1.622 -1.021 -1.354
2.662 -2.810 1.241
0.000 0.000 0.000
```